{"formula": "NdDy2Rh", "functional": "PBE", "state": "relaxed", "total_energy_ev_per_atom": -5.692, "spacegroup": "R3m, No. 160", "formation_enthalpy_0k_ev_per_atom": -0.361, "lattice_angstrom": [[3.8855, 0.0000, 0.0000], [-1.9427, 3.3649, 0.0000], [0.0000, 0.0000, 27.4001]], "species": ["Nd", "Nd", "Nd", "Dy", "Dy", "Dy", "Dy", "Dy", "Dy", "Rh", "Rh", "Rh"], "fractional_positions": [[0.0000, 0.0000, 0.0000], [0.3333, 0.6667, 0.6667], [0.6667, 0.3333, 0.3333], [0.0000, 0.0000, 0.5558], [0.0000, 0.0000, 0.7737], [0.3333, 0.6667, 0.2225], [0.3333, 0.6667, 0.4404], [0.6667, 0.3333, 0.1070], [0.6667, 0.3333, 0.8891], [0.0000, 0.0000, 0.1647], [0.3333, 0.6667, 0.8313], [0.6667, 0.3333, 0.4980]]}


{"formula": "Co2Cu2Ag", "functional": "PBE", "state": "relaxed", "total_energy_ev_per_atom": -4.667, "spacegroup": "P4/mbm, No. 127", "formation_enthalpy_0k_ev_per_atom": 0.384, "lattice_angstrom": [[7.1011, 0.0000, 0.0000], [0.0000, 7.1011, 0.0000], [0.0000, 0.0000, 2.6097]], "species": ["Co", "Co", "Co", "Co", "Cu", "Cu", "Cu", "Cu", "Ag", "Ag"], "fractional_positions": [[0.1693, 0.3307, 0.0000], [0.3307, 0.8307, 0.0000], [0.6693, 0.1693, 0.0000], [0.8307, 0.6693, 0.0000], [0.1255, 0.6255, 0.5000], [0.3745, 0.1255, 0.5000], [0.6255, 0.8745, 0.5000], [0.8745, 0.3745, 0.5000], [0.0000, 0.0000, 0.5000], [0.5000, 0.5000, 0.5000]]}